(1)
Material: YRhW
Method: DFT, PBE
State: relaxed

a = 5.1799 Å, b = 5.6973 Å, c = 7.7682 Å
α = 90.00°, β = 90.00°, γ = 90.00°
Positions (direct):
W1 0.2500 0.2500 0.7500
W2 0.7500 0.7500 0.2500
Y1 0.5000 0.7500 0.8785
Rh1 0.0000 0.5000 0.0000
Rh2 0.0000 0.0000 0.0000
Y2 0.5000 0.2500 0.1215
W3 0.7500 0.2500 0.7500
Rh3 0.5000 0.0000 0.5000
Y3 0.0000 0.2500 0.3785
Y4 0.0000 0.7500 0.6215
W4 0.2500 0.7500 0.2500
Rh4 0.5000 0.5000 0.5000

## Properties
* calculated volume: 19.1 A^3/atom
* DOS(E_F): 5.68 states/eV per cell
* distance to the lowest polymorph of the same formula: 0.000 eV/atom
* ρ: 10.9 g/cm3
* symmetry: No. 74


(2)
Material: YRh2W
Method: DFT, PBE
State: relaxed

a = 7.4738 Å, b = 4.8334 Å, c = 2.9557 Å
α = 90.08°, β = 66.59°, γ = 130.67°
Positions (direct):
Y1 0.5000 0.5000 0.0000
Rh1 0.0000 0.0000 0.0000
Rh2 0.5000 0.0000 0.5000
W1 0.0000 0.5000 0.5000

## Properties
* calculated volume: 17.3 A^3/atom
* DOS(E_F): 2.88 states/eV per cell
* distance to the lowest polymorph of the same formula: 0.102 eV/atom
* ρ: 11.5 g/cm3
* symmetry: No. 12


(3)
Material: YRhW
Method: DFT, PBE
State: relaxed

a = 3.2515 Å, b = 8.1181 Å, c = 4.4299 Å
α = 90.00°, β = 90.00°, γ = 90.00°
Positions (direct):
W1 0.0000 0.4922 0.5000
Y1 0.0000 0.1524 0.0000
Rh1 0.5000 0.2386 0.5000
W2 0.5000 0.5078 0.0000
Rh2 0.0000 0.7614 0.0000
Y2 0.5000 0.8476 0.5000

## Properties
* calculated volume: 19.5 A^3/atom
* DOS(E_F): 5.26 states/eV per cell
* distance to the lowest polymorph of the same formula: 0.063 eV/atom
* ρ: 10.7 g/cm3
* symmetry: No. 59


(4)
Material: YRhW
Method: DFT, PBE
State: relaxed

a = 7.3513 Å, b = 4.4077 Å, c = 10.3956 Å
α = 90.00°, β = 133.83°, γ = 90.00°
Positions (direct):
Y1 0.8027 0.5000 0.2925
W1 0.0388 0.0000 0.1915
Rh1 0.1987 0.5000 0.0067
W2 0.0388 0.5000 0.6915
Y2 0.4250 0.5000 0.4121
Rh2 0.8207 0.5000 0.0150
Rh3 0.1987 0.0000 0.5067
W3 0.3693 0.0000 0.1832
Y3 0.8027 0.0000 0.7925
W4 0.3693 0.5000 0.6832
Rh4 0.8207 0.0000 0.5150
Y4 0.4250 0.0000 0.9121

## Properties
* calculated volume: 20.3 A^3/atom
* DOS(E_F): 11.13 states/eV per cell
* distance to the lowest polymorph of the same formula: 0.194 eV/atom
* ρ: 10.3 g/cm3
* symmetry: No. 8


(5)
Material: YRh2W
Method: DFT, PBE
State: relaxed

a = 4.8161 Å, b = 4.8161 Å, c = 4.8161 Å
α = 126.72°, β = 126.72°, γ = 78.70°
Positions (direct):
Y1 0.7500 0.2500 0.5000
Rh1 0.5000 0.5000 0.0000
Rh2 0.0000 0.0000 0.0000
W1 0.2500 0.7500 0.5000

## Properties
* calculated volume: 17.4 A^3/atom
* DOS(E_F): 5.29 states/eV per cell
* distance to the lowest polymorph of the same formula: 0.203 eV/atom
* ρ: 11.4 g/cm3
* symmetry: No. 139


(6)
Material: YRhW
Method: DFT, PBE
State: relaxed

a = 5.4710 Å, b = 4.2671 Å, c = 10.5545 Å
α = 90.00°, β = 90.40°, γ = 90.00°
Positions (direct):
Rh1 0.3339 0.0000 0.4593
Rh2 0.3339 0.5000 0.9593
W1 0.8198 0.5000 0.9471
W2 0.0962 0.5000 0.5041
Rh3 0.6152 0.0000 0.8739
Y1 0.0947 0.0000 0.7292
Y2 0.5936 0.5000 0.6588
Y3 0.0947 0.5000 0.2292
W3 0.8198 0.0000 0.4471
Rh4 0.6152 0.5000 0.3739
Y4 0.5936 0.0000 0.1588
W4 0.0962 0.0000 0.0041

## Properties
* calculated volume: 20.5 A^3/atom
* DOS(E_F): 12.83 states/eV per cell
* distance to the lowest polymorph of the same formula: 0.234 eV/atom
* ρ: 10.1 g/cm3
* symmetry: No. 8


(7)
Material: YRh2W
Method: DFT, PBE
State: relaxed

a = 4.3243 Å, b = 4.3263 Å, c = 3.7187 Å
α = 90.00°, β = 90.00°, γ = 90.00°
Site moments in Bohr magnetons follow the coordinates.
Positions (direct):
Y1 0.0000 0.5000 0.5000  0.04
Rh1 0.5000 0.5000 0.0000  0.06
Rh2 0.0000 0.0000 0.0000  0.06
W1 0.5000 0.0000 0.5000  0.38

## Properties
* calculated volume: 17.4 A^3/atom
* DOS(E_F): 5.98 states/eV per cell
* distance to the lowest polymorph of the same formula: 0.234 eV/atom
* ρ: 11.4 g/cm3
* symmetry: No. 123


(8)
Material: YRh2W
Method: DFT, PBE
State: relaxed

a = 3.3353 Å, b = 3.3401 Å, c = 6.5088 Å
α = 90.00°, β = 90.00°, γ = 90.00°
Positions (direct):
W1 0.0000 0.0000 0.4359
Rh1 0.0000 0.0000 0.0221
Y1 0.5000 0.5000 0.7703
Rh2 0.5000 0.5000 0.2717

## Properties
* calculated volume: 18.1 A^3/atom
* DOS(E_F): 3.93 states/eV per cell
* distance to the lowest polymorph of the same formula: 0.238 eV/atom
* ρ: 11.0 g/cm3
* symmetry: No. 99


(9)
Material: YRh2W2
Method: DFT, PBE
State: relaxed

a = 7.8507 Å, b = 7.8507 Å, c = 2.8223 Å
α = 90.00°, β = 90.00°, γ = 90.00°
Positions (direct):
Rh1 0.6264 0.1264 0.0000
W1 0.8338 0.3338 0.5000
W2 0.3338 0.1662 0.5000
Rh2 0.3736 0.8736 0.0000
Rh3 0.8736 0.6264 0.0000
Y1 0.5000 0.5000 0.0000
Y2 0.0000 0.0000 0.0000
Rh4 0.1264 0.3736 0.0000
W3 0.6662 0.8338 0.5000
W4 0.1662 0.6662 0.5000

## Properties
* calculated volume: 17.4 A^3/atom
* DOS(E_F): 11.59 states/eV per cell
* distance to the lowest polymorph of the same formula: 0.085 eV/atom
* ρ: 12.6 g/cm3
* symmetry: No. 127


(10)
Material: YRh2W
Method: DFT, PBE
State: relaxed

a = 4.6608 Å, b = 2.9869 Å, c = 5.0781 Å
α = 80.17°, β = 90.00°, γ = 90.00°
Positions (direct):
Rh1 0.5000 0.0991 0.3132
Rh2 0.0000 0.1834 0.9410
W1 0.0000 0.4972 0.4177
Y1 0.5000 0.7204 0.8280

## Properties
* calculated volume: 17.4 A^3/atom
* DOS(E_F): 2.77 states/eV per cell
* distance to the lowest polymorph of the same formula: 0.060 eV/atom
* ρ: 11.4 g/cm3
* symmetry: No. 6


(11)
Material: YRh2W
Method: DFT, PBE
State: relaxed

a = 5.8295 Å, b = 5.8295 Å, c = 5.8295 Å
α = 150.52°, β = 133.22°, γ = 56.27°
Positions (direct):
Y1 0.2493 0.7493 0.5000
Rh1 0.9807 0.9807 0.0000
Rh2 0.7426 0.2426 0.5000
W1 0.5273 0.5273 0.0000

## Properties
* calculated volume: 17.6 A^3/atom
* DOS(E_F): 3.80 states/eV per cell
* distance to the lowest polymorph of the same formula: 0.221 eV/atom
* ρ: 11.3 g/cm3
* symmetry: No. 44


(12)
Material: YRh2W
Method: DFT, PBE
State: relaxed

a = 4.5867 Å, b = 4.5867 Å, c = 4.5867 Å
α = 60.00°, β = 60.00°, γ = 60.00°
Positions (direct):
Rh1 0.0000 0.0000 0.0000
Rh2 0.2500 0.2500 0.2500
Y1 0.7500 0.7500 0.7500
W1 0.5000 0.5000 0.5000

## Properties
* calculated volume: 17.1 A^3/atom
* DOS(E_F): 6.00 states/eV per cell
* distance to the lowest polymorph of the same formula: 0.422 eV/atom
* ρ: 11.6 g/cm3
* symmetry: No. 216